Entry 1:
Entry from the Alexandria database: a relaxed structure of PrDyTlH (PBE-GGA).

N(E_F): 0.63 states/eV/atom
Size of the total moment: 0.00 Bohr magnetons per cell
Energy: -32.99 eV for the cell shown

a = 4.563 Å, b = 4.563 Å, c = 9.044 Å
α = 90.00°, β = 90.00°, γ = 90.00°
Space group P4/nmm (No. 129, origin choice 2)
One atom of each set of equivalent atoms:
Pr1 0.250 0.250 0.113 (multiplicity 2)
Dy1 0.250 0.750 0.500 (multiplicity 2)
Tl1 0.250 0.250 0.742 (multiplicity 2)
H1 0.250 0.750 0.000 (multiplicity 2)


Entry 2:
Entry from the Alexandria database: a relaxed structure of K3CS3 (PBE-GGA).

N(E_F): 0.17 states/eV/atom
Raw formation energy: -459 meV per atom
Size of the total moment: 0.00 Bohr magnetons per cell

a = 9.828 Å, b = 6.592 Å, c = 12.346 Å
α = 90.00°, β = 90.00°, γ = 90.00°
Space group Pnma (No. 62)
One atom of each set of equivalent atoms:
K1 0.000 0.250 0.106 (multiplicity 4)
K2 0.185 0.250 0.624 (multiplicity 4)
K3 0.186 0.750 0.377 (multiplicity 4)
C1 0.000 0.250 0.406 (multiplicity 4)
S1 0.000 0.250 0.840 (multiplicity 4)
S2 0.157 0.250 0.361 (multiplicity 4)
S3 0.157 0.750 0.640 (multiplicity 4)


Entry 3:
Entry from the Alexandria database: a relaxed structure of MnBe3Cu (PBE-GGA).

Polymorph energy (0 for the lowest one): 0 meV per atom
N(E_F): 0.30 states/eV/atom
Size of the total moment: 3.61 Bohr magnetons per cell

a = 3.956 Å, b = 3.956 Å, c = 3.956 Å
α = 90.00°, β = 90.00°, γ = 90.00°
Space group Pm-3m (No. 221)
One atom of each set of equivalent atoms:
Mn1 0.000 0.000 0.000 (multiplicity 1)
Be1 0.000 0.500 0.500 (multiplicity 3)
Cu1 0.500 0.500 0.500 (multiplicity 1)


Entry 4:
Entry from the Alexandria database: a relaxed structure of NdAlRh2 (PBE-GGA).

N(E_F): 0.50 states/eV/atom
Size of the total moment: 0.00 Bohr magnetons per cell
Energy: -78.70 eV for the cell shown

a = 4.2672 Å, b = 4.2672 Å, c = 14.6971 Å
α = 90.00°, β = 90.00°, γ = 120.00°
Space group R-3m (No. 166, hexagonal axes)
One atom of each set of equivalent atoms:
Nd1 0.0000 0.0000 0.0000 (multiplicity 3)
Al1 0.0000 0.0000 0.5000 (multiplicity 3)
Rh1 0.0000 0.0000 0.2131 (multiplicity 6)